No. 1
# CuP2

A relaxed structure of CuP2 (GGA-PBE, Alexandria via LeMat-Bulk).

The space group is Fmmm (No. 69) and the conventional cell measures 2.556, 4.774 and 14.411 Å, with angles of 90.00, 90.00 and 90.00 degrees. The distinct sites, in fractional coordinates, are Cu at (0.000, 0.000, 0.000) and P at (0.000, 0.000, 0.356).

Its calculated total energy is -4.55 eV/atom. For the magnetization, the calculation gives 0.00 μB/f.u.



No. 2
# CuP

A relaxed structure of CuP (GGA-PBE, Alexandria via LeMat-Bulk).

The space group is Pmmn (No. 59, origin choice 2) and the conventional cell measures 3.266, 9.688 and 6.053 Å, with angles of 90.00, 90.00 and 90.00 degrees. The distinct sites, in fractional coordinates, are Cu at (0.250, 0.049, 0.173), Cu at (0.250, 0.750, 0.274), P at (0.250, 0.250, 0.983) and P at (0.250, 0.577, 0.531).

Its calculated total energy is -4.63 eV/atom. For the magnetization, the calculation gives 0.00 μB/f.u.



No. 3
# CuP

A relaxed structure of CuP (GGA-PBE, Alexandria via LeMat-Bulk).

The space group is P-6m2 (No. 187) and the conventional cell measures 2.9774, 2.9774 and 3.6204 Å, with angles of 90.00, 90.00 and 120.00 degrees. The distinct sites, in fractional coordinates, are Cu at (0.0000, 0.0000, 0.0000) and P at (0.6667, 0.3333, 0.5000).

Its calculated total energy is -4.41 eV/atom. For the magnetization, the calculation gives 0.00 μB/f.u.



No. 4
# Cu4P

A relaxed structure of Cu4P (GGA-PBE, Alexandria via LeMat-Bulk).

The space group is Pm-3m (No. 221) and the conventional cell measures 4.286, 4.286 and 4.286 Å, with angles of 90.00, 90.00 and 90.00 degrees. The distinct sites, in fractional coordinates, are Cu at (0.000, 0.000, 0.000), Cu at (0.000, 0.500, 0.500) and P at (0.500, 0.500, 0.500).

Its calculated total energy is -4.01 eV/atom. For the magnetization, the calculation gives 0.00 μB/f.u.



Number 2 is which compound?
CuP